Density functional theory data (SCAN) for a crystal of Tl2TeOs relaxed with PBEsol.

Summary:
Formation energy (no corrections) in eV per atom: 0.365
Raw total energy in eV per atom: -63.097
Calculated volume in Å³ per cell: 100
SG: No. 8
Energy relative to the lowest polymorph listed for this composition in meV/atom: 0.0

Cell lengths 3.8278, 3.8278, 8.8306 Å; angles 95.95, 95.95, 50.93 degrees
Closest atoms and distances in Å follow each position.
Atoms (fractional coordinates):
1 Tl 0.0000 0.0000 0.0000  3 Os 2.85-2.90
2 Tl 0.7352 0.7352 0.2797  5 Tl 3.24-3.29, 1 Te 3.33
3 Te 0.5614 0.5614 0.6167  3 Os 2.55-2.56
4 Os 0.2798 0.2798 0.7797  3 Te 2.55-2.56, 2 Tl 2.85


Density functional theory data (SCAN) for a crystal of TlTeOs2 relaxed with PBEsol.

Summary:
Formation energy (no corrections) in eV per atom: 0.675
Raw total energy in eV per atom: -62.667
Calculated volume in Å³ per cell: 83
SG: No. 25
Energy relative to the lowest polymorph listed for this composition in meV/atom: 0.0

Cell lengths 2.8883, 3.7777, 7.5622 Å; angles 90.00, 90.00, 90.00 degrees
Closest atoms and distances in Å follow each position.
Atoms (fractional coordinates):
1 Tl 0.0000 0.0000 0.0000  2 Tl 2.89, 5 Os 3.04-3.07
2 Te 0.5000 0.5000 0.6165  5 Os 2.73-2.88, 2 Te 2.89
3 Os 0.0000 0.0000 0.4017  6 Os 2.62-2.89, 4 Te 2.88
4 Os 0.5000 0.5000 0.2560  6 Os 2.62-2.89, 1 Te 2.73


Density functional theory data (SCAN) for a crystal of TlTeOs relaxed with PBEsol.

Summary:
Formation energy (no corrections) in eV per atom: 0.648
Raw total energy in eV per atom: -59.848
Calculated volume in Å³ per cell: 67
SG: No. 216
Energy relative to the lowest polymorph listed for this composition in meV/atom: 0.0

Cell lengths 4.5602, 4.5602, 4.5602 Å; angles 60.00, 60.00, 60.00 degrees
Closest atoms and distances in Å follow each position.
Atoms (fractional coordinates):
1 Tl 0.0000 0.0000 0.0000  4 Os 2.79
2 Te 0.5000 0.5000 0.5000  4 Os 2.79
3 Os 0.7500 0.7500 0.7500  4 Tl 2.79, 4 Te 2.79


Density functional theory data (SCAN) for a crystal of Tl2TeOs relaxed with PBEsol.

Summary:
Formation energy (no corrections) in eV per atom: 1.230
Raw total energy in eV per atom: -62.232
Calculated volume in Å³ per cell: 88
SG: No. 225
Energy relative to the lowest polymorph listed for this composition in meV/atom: 864.5

Cell lengths 4.9877, 4.9877, 4.9877 Å; angles 60.00, 60.00, 60.00 degrees
Closest atoms and distances in Å follow each position.
Atoms (fractional coordinates):
1 Tl 0.2500 0.2500 0.2500  4 Os 3.05, 4 Te 3.05
2 Tl 0.7500 0.7500 0.7500  4 Os 3.05, 4 Te 3.05
3 Te 0.0000 0.0000 0.0000  8 Tl 3.05
4 Os 0.5000 0.5000 0.5000  8 Tl 3.05